Sm6P2PbS3: optimized geometry, PBE.

Computed properties:
Calculated total energy: -74.60 eV/f.u.
E_form (uncorrected): -1.614 eV per atom

a b c (Å): 18.030 4.108 8.342
angles (deg): 90.00 102.84 90.00
Space group C2/m (No. 12)
Unique sites:
Sm  0.003  0.000  0.272
Sm  0.170  0.500  0.579
Sm  0.174  0.500  0.097
P  0.168  0.000  0.336
Pb  0.000  0.500  0.000
S  0.000  0.500  0.500
S  0.165  0.000  0.832